Here is CaNdCr2O8 after structural relaxation from Alexandria via LeMat-Bulk. Energies are from PBE with a Hubbard U.

a = 7.380 Å, b = 7.380 Å, c = 6.410 Å
α = 90.00°, β = 90.00°, γ = 90.00°
Space group I-4m2 (No. 119)
Inequivalent atoms, fractional coordinates:
Ca1 0.000 0.000 0.000 [2 per cell]
Nd1 0.000 0.500 0.250 [2 per cell]
Cr1 0.000 0.000 0.500 [2 per cell]
Cr2 0.000 0.500 0.750 [2 per cell]
O1 0.000 0.184 0.333 [8 per cell]
O2 0.000 0.322 0.910 [8 per cell]

Output
crystal system: tetragonal
electronic total energy: -7.244 eV per atom